{
  "formula": "BePtCl2",
  "functional": "PBE",
  "state": "optimized geometry",
  "dft_energy_ha_per_atom": -0.1397,
  "e_form_raw_mev_per_atom": -435.5,
  "de_polymorph_ev_per_atom": 0.000,
  "cell": [[4.812, 0.000, 0.000], [0.000, 3.284, 0.000], [-0.863, 0.000, 5.830]],
  "species": ["Be", "Pt", "Cl", "Cl"],
  "frac_coords": [[0.000, 0.000, 0.000], [0.680, 0.500, 0.007], [0.360, 0.000, 0.217], [0.988, 0.500, 0.744]]
}